Density functional theory data (PBE-GGA) for a relaxed LiTlTc2 crystal.

Unit cell a=4.462 b=4.462 c=4.462 alpha=60.00 beta=60.00 gamma=60.00
Element x y z (fractional)
Tl 0.500 0.500 0.500
Li 0.250 0.250 0.250
Tc 0.750 0.750 0.750
Tc 0.000 0.000 0.000

## Properties
The calculation puts the volume at 63 Å³/f.u. The value obtained for the total energy is -5.93 eV per atom. As for the spin magnetization: 0.00 μB per atom. Its space group is No. 216. For the density, the calculation gives 10.77 g cm⁻³.